# 1
# BeSbPd4, relaxed, DFT PBE
# Formation energy without anion corrections: -30.11 kJ/mol of atoms
# E: -5.0821 eV/atom
# Magnetization: 0.000 μB/atom
# SG: P2_1/c, No. 14
# Density: 9.64 g/cm3
data_BeSbPd4
_chemical_formula_sum 'Be2 Sb2 Pd8'
_cell_length_a 7.407
_cell_length_b 5.530
_cell_length_c 4.718
_cell_angle_alpha 90.00
_cell_angle_beta 97.33
_cell_angle_gamma 90.00
_space_group_name_H-M_alt 'P 1'
_space_group_IT_number 1
_space_group_name_Hall 'P 1'
loop_
_atom_site_label
_atom_site_type_symbol
_atom_site_fract_x
_atom_site_fract_y
_atom_site_fract_z
_atom_site_occupancy
Be1 Be 0.000 0.000 0.000 1
Be2 Be 0.000 0.500 0.500 1
Sb1 Sb 0.500 0.000 0.500 1
Sb2 Sb 0.500 0.500 0.000 1
Pd1 Pd 0.146 0.121 0.439 1
Pd2 Pd 0.146 0.379 0.939 1
Pd3 Pd 0.300 0.594 0.465 1
Pd4 Pd 0.300 0.906 0.965 1
Pd5 Pd 0.700 0.094 0.035 1
Pd6 Pd 0.700 0.406 0.535 1
Pd7 Pd 0.854 0.621 0.061 1
Pd8 Pd 0.854 0.879 0.561 1


# 2
# BeSb2Pd8, relaxed, DFT PBE
# Formation energy without anion corrections: -34.86 kJ/mol of atoms
# E: -5.2262 eV/atom
# Energy relative to the lowest polymorph listed for this composition: 0.16 eV/f.u.
# Magnetization: 0.000 μB/atom
# SG: Immm, No. 71
# Density: 10.22 g/cm3
data_BeSb2Pd8
_chemical_formula_sum 'Be1 Sb2 Pd8'
_cell_length_a 7.207
_cell_length_b 7.207
_cell_length_c 7.207
_cell_angle_alpha 146.84
_cell_angle_beta 116.99
_cell_angle_gamma 73.08
_space_group_name_H-M_alt 'P 1'
_space_group_IT_number 1
_space_group_name_Hall 'P 1'
loop_
_atom_site_label
_atom_site_type_symbol
_atom_site_fract_x
_atom_site_fract_y
_atom_site_fract_z
_atom_site_occupancy
Be1 Be 0.000 0.000 0.000 1
Sb1 Sb 0.309 0.309 0.000 1
Sb2 Sb 0.691 0.691 0.000 1
Pd1 Pd 0.108 0.843 0.265 1
Pd2 Pd 0.126 0.626 0.500 1
Pd3 Pd 0.307 0.500 0.807 1
Pd4 Pd 0.423 0.157 0.265 1
Pd5 Pd 0.577 0.843 0.735 1
Pd6 Pd 0.693 0.500 0.193 1
Pd7 Pd 0.874 0.374 0.500 1
Pd8 Pd 0.892 0.157 0.735 1


# 3
# BeSb2Pd2, relaxed, DFT PBE
# Formation energy without anion corrections: 23.34 kJ/mol of atoms
# E: -4.2295 eV/atom
# Energy relative to the lowest polymorph listed for this composition: 1.66 eV/f.u.
# Magnetization: 0.000 μB/atom
# SG: I4/mmm, No. 139
# Density: 7.58 g/cm3
data_BeSb2Pd2
_chemical_formula_sum 'Be2 Sb4 Pd4'
_cell_length_a 3.831
_cell_length_b 3.831
_cell_length_c 13.889
_cell_angle_alpha 90.00
_cell_angle_beta 90.00
_cell_angle_gamma 90.00
_space_group_name_H-M_alt 'P 1'
_space_group_IT_number 1
_space_group_name_Hall 'P 1'
loop_
_atom_site_label
_atom_site_type_symbol
_atom_site_fract_x
_atom_site_fract_y
_atom_site_fract_z
_atom_site_occupancy
Be1 Be 0.000 0.000 0.000 1
Be2 Be 0.500 0.500 0.500 1
Sb1 Sb 0.000 0.000 0.392 1
Sb2 Sb 0.000 0.000 0.608 1
Sb3 Sb 0.500 0.500 0.108 1
Sb4 Sb 0.500 0.500 0.892 1
Pd1 Pd 0.000 0.500 0.250 1
Pd2 Pd 0.000 0.500 0.750 1
Pd3 Pd 0.500 0.000 0.250 1
Pd4 Pd 0.500 0.000 0.750 1


# 4
# BeSbPd6, relaxed, DFT PBE
# Formation energy without anion corrections: -19.58 kJ/mol of atoms
# E: -5.0786 eV/atom
# Magnetization: 0.000 μB/atom
# SG: P-1, No. 2
# Density: 9.87 g/cm3
data_BeSbPd6
_chemical_formula_sum 'Be1 Sb1 Pd6'
_cell_length_a 5.363
_cell_length_b 5.383
_cell_length_c 5.421
_cell_angle_alpha 67.94
_cell_angle_beta 67.60
_cell_angle_gamma 68.45
_space_group_name_H-M_alt 'P 1'
_space_group_IT_number 1
_space_group_name_Hall 'P 1'
loop_
_atom_site_label
_atom_site_type_symbol
_atom_site_fract_x
_atom_site_fract_y
_atom_site_fract_z
_atom_site_occupancy
Be1 Be 0.000 0.000 0.000 1
Sb1 Sb 0.500 0.500 0.500 1
Pd1 Pd 0.002 0.226 0.549 1
Pd2 Pd 0.228 0.543 0.004 1
Pd3 Pd 0.460 0.995 0.772 1
Pd4 Pd 0.540 0.005 0.228 1
Pd5 Pd 0.772 0.457 0.996 1
Pd6 Pd 0.998 0.774 0.451 1


# 5
# BeSbPd3, relaxed, DFT PBE
# Formation energy without anion corrections: -20.45 kJ/mol of atoms
# E: -4.8973 eV/atom
# Energy relative to the lowest polymorph listed for this composition: 0.00 eV/f.u.
# Magnetization: 0.000 μB/atom
# SG: Pm-3m, No. 221
# Density: 9.24 g/cm3
data_BeSbPd3
_chemical_formula_sum 'Be1 Sb1 Pd3'
_cell_length_a 4.325
_cell_length_b 4.325
_cell_length_c 4.325
_cell_angle_alpha 90.00
_cell_angle_beta 90.00
_cell_angle_gamma 90.00
_space_group_name_H-M_alt 'P 1'
_space_group_IT_number 1
_space_group_name_Hall 'P 1'
loop_
_atom_site_label
_atom_site_type_symbol
_atom_site_fract_x
_atom_site_fract_y
_atom_site_fract_z
_atom_site_occupancy
Be1 Be 0.000 0.000 0.000 1
Sb1 Sb 0.500 0.500 0.500 1
Pd1 Pd 0.000 0.000 0.500 1
Pd2 Pd 0.000 0.500 0.000 1
Pd3 Pd 0.500 0.000 0.000 1


# 6
# BeSb2Pd8, relaxed, DFT PBE
# Formation energy without anion corrections: -36.27 kJ/mol of atoms
# E: -5.2408 eV/atom
# Energy relative to the lowest polymorph listed for this composition: 0.00 eV/f.u.
# Magnetization: 0.000 μB/atom
# SG: C2/m, No. 12
# Density: 10.39 g/cm3
data_BeSb2Pd8
_chemical_formula_sum 'Be1 Sb2 Pd8'
_cell_length_a 7.708
_cell_length_b 7.708
_cell_length_c 5.818
_cell_angle_alpha 110.74
_cell_angle_beta 110.74
_cell_angle_gamma 33.32
_space_group_name_H-M_alt 'P 1'
_space_group_IT_number 1
_space_group_name_Hall 'P 1'
loop_
_atom_site_label
_atom_site_type_symbol
_atom_site_fract_x
_atom_site_fract_y
_atom_site_fract_z
_atom_site_occupancy
Be1 Be 0.000 0.000 0.000 1
Sb1 Sb 0.327 0.327 0.313 1
Sb2 Sb 0.673 0.673 0.687 1
Pd1 Pd 0.103 0.103 0.408 1
Pd2 Pd 0.147 0.147 0.941 1
Pd3 Pd 0.305 0.305 0.745 1
Pd4 Pd 0.488 0.488 0.222 1
Pd5 Pd 0.512 0.512 0.778 1
Pd6 Pd 0.695 0.695 0.255 1
Pd7 Pd 0.853 0.853 0.059 1
Pd8 Pd 0.897 0.897 0.592 1


# 7
# Sm2BeSbPd6, relaxed, DFT PBE
# Formation energy without anion corrections: -62.41 kJ/mol of atoms
# E: -5.4912 eV/atom
# Magnetization: 0.000 μB/atom
# SG: C2/m, No. 12
# Density: 9.23 g/cm3
data_Sm2BeSbPd6
_chemical_formula_sum 'Sm2 Be1 Sb1 Pd6'
_cell_length_a 5.779
_cell_length_b 5.779
_cell_length_c 7.414
_cell_angle_alpha 113.12
_cell_angle_beta 113.12
_cell_angle_gamma 60.87
_space_group_name_H-M_alt 'P 1'
_space_group_IT_number 1
_space_group_name_Hall 'P 1'
loop_
_atom_site_label
_atom_site_type_symbol
_atom_site_fract_x
_atom_site_fract_y
_atom_site_fract_z
_atom_site_occupancy
Sm1 Sm 0.235 0.235 0.295 1
Sm2 Sm 0.765 0.765 0.705 1
Be1 Be 0.500 0.500 0.000 1
Sb1 Sb 0.000 0.000 0.500 1
Pd1 Pd 0.164 0.677 0.145 1
Pd2 Pd 0.290 0.290 0.736 1
Pd3 Pd 0.323 0.836 0.855 1
Pd4 Pd 0.677 0.164 0.145 1
Pd5 Pd 0.710 0.710 0.264 1
Pd6 Pd 0.836 0.323 0.855 1


# 8
# Sr2BeSbPd, relaxed, DFT PBE
# Formation energy without anion corrections: 23.23 kJ/mol of atoms
# E: -3.0402 eV/atom
# Magnetization: 0.000 μB/atom
# SG: P4/mmm, No. 123
# Density: 3.53 g/cm3
data_Sr2BeSbPd
_chemical_formula_sum 'Sr2 Be1 Sb1 Pd1'
_cell_length_a 6.235
_cell_length_b 6.235
_cell_length_c 4.987
_cell_angle_alpha 90.00
_cell_angle_beta 90.00
_cell_angle_gamma 90.00
_space_group_name_H-M_alt 'P 1'
_space_group_IT_number 1
_space_group_name_Hall 'P 1'
loop_
_atom_site_label
_atom_site_type_symbol
_atom_site_fract_x
_atom_site_fract_y
_atom_site_fract_z
_atom_site_occupancy
Sr1 Sr 0.000 0.500 0.000 1
Sr2 Sr 0.500 0.000 0.000 1
Be1 Be 0.000 0.000 0.500 1
Sb1 Sb 0.500 0.500 0.000 1
Pd1 Pd 0.500 0.500 0.500 1


# 9
# Sr2BeSbPd6, relaxed, DFT PBE
# Formation energy without anion corrections: -55.40 kJ/mol of atoms
# E: -4.8111 eV/atom
# Magnetization: 0.000 μB/atom
# SG: P-1, No. 2
# Density: 7.54 g/cm3
data_Sr2BeSbPd6
_chemical_formula_sum 'Sr2 Be1 Sb1 Pd6'
_cell_length_a 6.197
_cell_length_b 6.213
_cell_length_c 7.164
_cell_angle_alpha 64.90
_cell_angle_beta 64.55
_cell_angle_gamma 60.17
_space_group_name_H-M_alt 'P 1'
_space_group_IT_number 1
_space_group_name_Hall 'P 1'
loop_
_atom_site_label
_atom_site_type_symbol
_atom_site_fract_x
_atom_site_fract_y
_atom_site_fract_z
_atom_site_occupancy
Sr1 Sr 0.227 0.231 0.317 1
Sr2 Sr 0.773 0.769 0.683 1
Be1 Be 0.000 0.000 0.000 1
Sb1 Sb 0.500 0.500 0.500 1
Pd1 Pd 0.235 0.690 0.837 1
Pd2 Pd 0.238 0.232 0.830 1
Pd3 Pd 0.304 0.768 0.167 1
Pd4 Pd 0.696 0.232 0.833 1
Pd5 Pd 0.762 0.768 0.170 1
Pd6 Pd 0.765 0.310 0.163 1


# 10
# BeSbTe2Pd, relaxed, DFT PBE
# Formation energy without anion corrections: 78.78 kJ/mol of atoms
# E: -3.0485 eV/atom
# Energy relative to the lowest polymorph listed for this composition: 1.42 eV/f.u.
# Magnetization: 0.000 μB/atom
# SG: P4/mmm, No. 123
# Density: 5.57 g/cm3
data_BeSbTe2Pd
_chemical_formula_sum 'Be1 Sb1 Te2 Pd1'
_cell_length_a 5.371
_cell_length_b 5.371
_cell_length_c 5.084
_cell_angle_alpha 90.00
_cell_angle_beta 90.00
_cell_angle_gamma 90.00
_space_group_name_H-M_alt 'P 1'
_space_group_IT_number 1
_space_group_name_Hall 'P 1'
loop_
_atom_site_label
_atom_site_type_symbol
_atom_site_fract_x
_atom_site_fract_y
_atom_site_fract_z
_atom_site_occupancy
Be1 Be 0.000 0.000 0.000 1
Sb1 Sb 0.500 0.500 0.000 1
Te1 Te 0.000 0.500 0.500 1
Te2 Te 0.500 0.000 0.500 1
Pd1 Pd 0.500 0.500 0.500 1


# 11
# BeSbTe2Pd, relaxed, DFT PBE
# Formation energy without anion corrections: 51.32 kJ/mol of atoms
# E: -3.3331 eV/atom
# Energy relative to the lowest polymorph listed for this composition: 0.00 eV/f.u.
# Magnetization: 0.000 μB/atom
# SG: P4/mmm, No. 123
# Density: 6.94 g/cm3
data_BeSbTe2Pd
_chemical_formula_sum 'Be1 Sb1 Te2 Pd1'
_cell_length_a 4.993
_cell_length_b 4.993
_cell_length_c 4.723
_cell_angle_alpha 90.00
_cell_angle_beta 90.00
_cell_angle_gamma 90.00
_space_group_name_H-M_alt 'P 1'
_space_group_IT_number 1
_space_group_name_Hall 'P 1'
loop_
_atom_site_label
_atom_site_type_symbol
_atom_site_fract_x
_atom_site_fract_y
_atom_site_fract_z
_atom_site_occupancy
Be1 Be 0.000 0.000 0.000 1
Sb1 Sb 0.000 0.000 0.500 1
Te1 Te 0.000 0.500 0.000 1
Te2 Te 0.500 0.000 0.000 1
Pd1 Pd 0.500 0.500 0.500 1


# 12
# Y2BeSbPd6, relaxed, DFT PBE
# Formation energy without anion corrections: -60.37 kJ/mol of atoms
# E: -5.8191 eV/atom
# Magnetization: 0.000 μB/atom
# SG: P-1, No. 2
# Density: 7.85 g/cm3
data_Y2BeSbPd6
_chemical_formula_sum 'Y2 Be1 Sb1 Pd6'
_cell_length_a 5.933
_cell_length_b 5.935
_cell_length_c 7.370
_cell_angle_alpha 66.91
_cell_angle_beta 66.49
_cell_angle_gamma 60.28
_space_group_name_H-M_alt 'P 1'
_space_group_IT_number 1
_space_group_name_Hall 'P 1'
loop_
_atom_site_label
_atom_site_type_symbol
_atom_site_fract_x
_atom_site_fract_y
_atom_site_fract_z
_atom_site_occupancy
Y1 Y 0.243 0.238 0.274 1
Y2 Y 0.757 0.762 0.726 1
Be1 Be 0.500 0.500 0.500 1
Sb1 Sb 0.000 0.000 0.000 1
Pd1 Pd 0.211 0.730 0.320 1
Pd2 Pd 0.263 0.269 0.683 1
Pd3 Pd 0.266 0.797 0.675 1
Pd4 Pd 0.734 0.203 0.325 1
Pd5 Pd 0.737 0.731 0.317 1
Pd6 Pd 0.789 0.270 0.680 1